Here is a relaxed structure of Na6B7C5 from Alexandria. Energies are from GGA-PBE. Values from VASP.

Calculated values
Fermi-level density of states ... 2.32 states/eV per cell
Offset from the most stable computed form ... 0.000 eV per atom
Total energy ... -5.547 eV per atom
Energy of formation from the pure elements ... 0.05 eV/atom
Space-group type ... Amm2 (38)
Calculated volume ... 9.96 Å³/atom

Structure (Quantum ESPRESSO input):
```
&SYSTEM
  ibrav = 0, nat = 18, ntyp = 3
/
ATOMIC_SPECIES
Na 22.99 Na.upf
B 10.81 B.upf
C 12.01 C.upf
ATOMIC_POSITIONS crystal
Na 0.245 0.000 0.000
Na 0.247 0.333 0.333
Na 0.249 0.668 0.668
Na 0.751 0.668 0.668
Na 0.753 0.333 0.333
Na 0.755 0.000 0.000
B 0.000 0.111 0.111
B 0.000 0.444 0.444
B 0.000 0.777 0.777
B 0.500 0.117 0.117
B 0.500 0.229 0.229
B 0.500 0.543 0.543
B 0.500 0.887 0.887
C 0.000 0.222 0.222
C 0.000 0.555 0.555
C 0.000 0.889 0.889
C 0.500 0.441 0.441
C 0.500 0.782 0.782
CELL_PARAMETERS angstrom
8.498 0.000 0.000
0.000 1.407 7.499
0.000 -1.407 7.499
```